DFT (GGA+U) results for a geometry-optimized BaFeReO6 structure.

Unit cell a=5.1995 b=5.1995 c=5.7401 alpha=90.05 beta=90.05 gamma=120.05
With the nearest neighbours (Å) after each atom.
Fractional coordinates of all 9 atoms:
Ba (0.0000, 0.0000, 0.0000)  6 O 2.71-2.72
Fe (0.3325, 0.6675, 0.5000)  6 O 1.95-1.97
Re (0.6662, 0.3338, 0.5000)  6 O 1.90-1.91
O (0.3938, 0.0074, 0.6872)  1 Re 1.91, 1 Fe 1.95
O (0.4009, 0.3926, 0.3098)  1 Re 1.90, 1 Fe 1.97
O (0.6074, 0.5991, 0.6902)  1 Re 1.90, 1 Fe 1.97
O (0.6106, 0.0090, 0.3119)  1 Re 1.90, 1 Fe 1.96
O (0.9910, 0.3894, 0.6881)  1 Re 1.90, 1 Fe 1.96
O (0.9926, 0.6062, 0.3128)  1 Re 1.91, 1 Fe 1.95

Properties
**Calculated total energy**: -65.39 eV per cell
**Crystal system**: monoclinic
**Symmetry**: C2, No. 5
**Magnetization**: 0.11 μB per atom
**Calculated volume**: 14.92 A^3/atom